# In2GeBr

Crystalline In2GeBr at its relaxed geometry (PBE, Alexandria).

Output
The value obtained for the formation energy without anion corrections is 0.04 eV per atom. The total energy is -11.6 eV per cell. The value obtained for the calculated volume is 25.8 Å³/atom. For the energy above the most stable polymorph in this dataset, the calculation gives 2.06 kcal/mol of atoms. The density comes out at 6.153 Mg/m³. The symmetry is Fm-3m (225).

```
4
Lattice="0.000 3.722 3.722 3.722 0.000 3.722 3.722 3.722 0.000" Properties=species:S:1:pos:R:3 pbc="T T T"
In 1.861 1.861 1.861
In 5.583 5.583 5.583
Ge 0.000 0.000 0.000
Br 3.722 3.722 3.722
```


# TbSc3S6

Crystalline TbSc3S6 at its relaxed geometry (PBE, Alexandria).

Output
The value obtained for the formation energy without anion corrections is -1.94 eV per atom. The total energy is -135.6 eV per cell. The value obtained for the calculated volume is 20.5 Å³/atom. The density comes out at 3.943 Mg/m³. The symmetry is P2_1/m (11).

```
20
Lattice="10.635 0.000 0.000 0.000 3.771 0.000 -3.608 0.000 10.212" Properties=species:S:1:pos:R:3 pbc="T T T"
Tb -0.190 0.943 2.019
Tb 7.217 2.828 8.192
Sc -0.415 0.943 6.001
Sc 3.388 2.828 0.004
Sc 3.486 0.943 3.420
Sc 3.542 2.828 6.791
Sc 3.639 0.943 10.207
Sc 7.443 2.828 4.210
S -0.612 2.828 4.173
S -2.221 0.943 9.857
S -0.573 2.828 7.653
S 2.007 2.828 2.347
S 2.160 0.943 5.706
S 4.651 0.943 1.153
S 2.376 2.828 9.058
S 4.867 2.828 4.506
S 5.020 0.943 7.864
S 7.600 0.943 2.558
S 9.248 2.828 0.354
S 7.639 0.943 6.039
```